DFT (PBE) results for ZrIr2Cl after structural relaxation.

Unit cell a=2.9066 b=2.9066 c=9.1421 alpha=90.00 beta=90.00 gamma=90.00
Atoms (fractional coordinates):
1 Ir 0.0000 0.0000 0.0714
2 Ir 0.5000 0.5000 0.2607
3 Zr 0.0000 0.0000 0.4909
4 Cl 0.5000 0.5000 0.6770

Spin magnetization = 0.0 μB per cell
E above lowest polymorph = 0.1493 eV/atom
Formation energy (no corrections) = -0.6 eV/f.u.
ρ = 10988 kg/m3